InCoAg2: relaxed, GGA-PBEsol.

Results
For the energy relative to the elements, the calculation gives 24.14 kJ per mole of atoms. For the density, the calculation gives 10.00 g cm⁻³.

Geometry as POSCAR:
```
InCoAg2
1.0
2.850 0.000 0.044
0.000 4.761 0.000
-0.327 0.000 4.763
In Ag Co
1 2 1
direct
0.000 0.500 0.500
0.259 0.000 0.241
0.741 0.000 0.759
0.500 0.500 0.000
```